[1]
# In2GeSbH

A relaxed In2GeSbH crystal (PBE, Alexandria).

a b c (Å): 5.489 5.489 5.421
angles (deg): 90.00 90.00 90.00
Fractional positions:
In 0.000 0.500 0.000
In 0.500 0.000 0.000
Ge 0.000 0.000 0.000
Sb 0.000 0.000 0.500
H 0.500 0.500 0.500

Summary:
* uncorrected energy: -2.698 eV/atom

[2]
# InSnGe2H

A relaxed InSnGe2H crystal (PBE, Alexandria).

a b c (Å): 5.491 5.491 3.556
angles (deg): 90.00 90.00 90.00
Fractional positions:
In 0.000 0.000 0.000
Sn 0.500 0.500 0.500
Ge 0.000 0.500 0.000
Ge 0.500 0.000 0.000
H 0.000 0.000 0.500

Summary:
* uncorrected energy: -3.442 eV/atom

[3]
# ZnInGe2H

A relaxed ZnInGe2H crystal (PBE, Alexandria).

a b c (Å): 4.192 4.192 4.933
angles (deg): 90.00 90.00 90.00
Fractional positions:
Zn 0.000 0.000 0.000
In 0.500 0.500 0.000
Ge 0.000 0.500 0.500
Ge 0.500 0.000 0.500
H 0.500 0.500 0.500

Summary:
* uncorrected energy: -2.924 eV/atom

[4]
# Zn2InGeH

A relaxed Zn2InGeH crystal (PBE, Alexandria).

a b c (Å): 5.141 5.141 5.351
angles (deg): 90.00 90.00 90.00
Fractional positions:
Zn 0.000 0.500 0.000
Zn 0.500 0.000 0.000
In 0.000 0.000 0.000
Ge 0.000 0.000 0.500
H 0.500 0.500 0.500

Summary:
* uncorrected energy: -1.650 eV/atom

[5]
# Ge3HIr

A relaxed Ge3HIr crystal (PBE, Alexandria).

a b c (Å): 4.137 4.137 4.137
angles (deg): 90.00 90.00 90.00
Fractional positions:
Ge 0.000 0.000 0.500
Ge 0.000 0.500 0.000
Ge 0.500 0.000 0.000
H 0.000 0.000 0.000
Ir 0.500 0.500 0.500

Summary:
* uncorrected energy: -4.722 eV/atom

[6]
# GeH2Ir

A relaxed GeH2Ir crystal (PBE, Alexandria).

a b c (Å): 3.793 3.793 3.793
angles (deg): 60.00 60.00 60.00
Fractional positions:
Ge 0.000 0.000 0.000
H 0.250 0.250 0.250
H 0.750 0.750 0.750
Ir 0.500 0.500 0.500

Summary:
* uncorrected energy: -4.182 eV/atom

[7]
# GeH2Ir2

A relaxed GeH2Ir2 crystal (PBE, Alexandria).

a b c (Å): 5.577 5.577 3.368
angles (deg): 90.00 90.00 90.00
Fractional positions:
Ge 0.000 0.000 0.000
Ge 0.500 0.500 0.000
H 0.108 0.392 0.000
H 0.392 0.892 0.000
H 0.608 0.108 0.000
H 0.892 0.608 0.000
Ir 0.178 0.322 0.500
Ir 0.322 0.822 0.500
Ir 0.678 0.178 0.500
Ir 0.822 0.678 0.500

Summary:
* uncorrected energy: -5.655 eV/atom

[8]
# Ge2H2Ir

A relaxed Ge2H2Ir crystal (PBE, Alexandria).

a b c (Å): 6.394 6.394 6.394
angles (deg): 152.63 152.63 39.09
Fractional positions:
Ge 0.135 0.135 0.000
Ge 0.865 0.865 0.000
H 0.250 0.750 0.500
H 0.750 0.250 0.500
Ir 0.500 0.500 0.000

Summary:
* uncorrected energy: -4.632 eV/atom

[9]
# Ge3HIr

A relaxed Ge3HIr crystal (PBE, Alexandria).

a b c (Å): 4.816 4.816 4.816
angles (deg): 90.00 90.00 90.00
Fractional positions:
Ge 0.000 0.000 0.500
Ge 0.000 0.500 0.000
Ge 0.500 0.000 0.000
H 0.500 0.500 0.500
Ir 0.000 0.000 0.000

Summary:
* uncorrected energy: -4.517 eV/atom

[10]
# GeH2Ir2

A relaxed GeH2Ir2 crystal (PBE, Alexandria).

a b c (Å): 6.046 6.046 6.046
angles (deg): 151.24 151.24 41.13
Fractional positions:
Ge 0.000 0.000 0.000
H 0.250 0.750 0.500
H 0.750 0.250 0.500
Ir 0.363 0.363 0.000
Ir 0.637 0.637 0.000

Summary:
* uncorrected energy: -5.624 eV/atom

[11]
# GeH2Ir

A relaxed GeH2Ir crystal (PBE, Alexandria).

a b c (Å): 5.370 5.370 5.370
angles (deg): 130.36 130.36 72.84
Fractional positions:
Ge 0.000 0.000 0.000
Ge 0.750 0.250 0.500
H 0.219 0.625 0.094
H 0.375 0.469 0.594
H 0.531 0.125 0.906
H 0.875 0.781 0.406
Ir 0.250 0.750 0.500
Ir 0.500 0.500 0.000

Summary:
* uncorrected energy: -4.641 eV/atom

[12]
# GeHIr3

A relaxed GeHIr3 crystal (PBE, Alexandria).

a b c (Å): 3.946 3.946 3.946
angles (deg): 90.00 90.00 90.00
Fractional positions:
Ge 0.000 0.000 0.000
H 0.500 0.500 0.500
Ir 0.000 0.500 0.500
Ir 0.500 0.000 0.500
Ir 0.500 0.500 0.000

Summary:
* uncorrected energy: -6.809 eV/atom

Question: Which of these has the highest uncorrected energy?
Answer: Zn2InGeH